No. 1
Compound: Tm5ScAl4
Source: the Alexandria database
Functional: PBE
Structure: optimized geometry

Results
* energy of formation from the pure elements: -3.12 eV/f.u.
* magnetization: 0.000 μB/atom
* symmetry: No. 123
* total energy: -46.78 eV per formula unit

abc: 3.531 3.531 18.795
angles: 90.00 90.00 90.00
Positions (direct):
Tm: 0.500 0.500 0.309
Tm: 0.500 0.500 0.500
Tm: 0.500 0.500 0.691
Tm: 0.500 0.500 0.116
Tm: 0.500 0.500 0.884
Al: 0.000 0.000 0.596
Al: 0.000 0.000 0.404
Al: 0.000 0.000 0.788
Al: 0.000 0.000 0.212
Sc: 0.000 0.000 0.000

---

No. 2
Compound: YMo3
Source: the Alexandria database
Functional: PBE
Structure: optimized geometry

Results
* energy of formation from the pure elements: 1.48 eV/f.u.
* magnetization: 0.000 μB/atom
* symmetry: No. 225
* total energy: -37.48 eV per formula unit
* offset from the most stable computed form: 0.114 eV per atom

abc: 4.659 4.658 4.659
angles: 59.99 90.00 120.01
Positions (direct):
Mo: 0.000 0.000 0.000
Mo: 0.750 0.500 0.750
Mo: 0.500 0.000 0.500
Y: 0.250 0.500 0.250

---

No. 3
Compound: Ac3Sn3Ge
Source: the Alexandria database
Functional: PBE
Structure: optimized geometry

Results
* energy of formation from the pure elements: -2.90 eV/f.u.
* magnetization: 0.000 μB/atom
* symmetry: No. 176
* total energy: -31.85 eV per formula unit

abc: 6.712 9.601 9.601
angles: 120.00 90.00 90.00
Positions (direct):
Ac: 0.750 0.397 0.083
Ac: 0.250 0.083 0.686
Ac: 0.250 0.603 0.917
Ac: 0.750 0.917 0.314
Ac: 0.250 0.314 0.397
Ac: 0.750 0.686 0.603
Sn: 0.250 0.356 0.077
Sn: 0.250 0.721 0.644
Sn: 0.750 0.279 0.356
Sn: 0.250 0.923 0.279
Sn: 0.750 0.644 0.923
Sn: 0.750 0.077 0.721
Ge: 0.250 0.667 0.333
Ge: 0.750 0.333 0.667

---

No. 4
Compound: ScSb2TeC
Source: the Alexandria database
Functional: PBE
Structure: optimized geometry

Results
* E_form (uncorrected): 0.578 eV/atom
* magnetization: 0.000 μB/atom
* symmetry: No. 123
* total energy: -24.05 eV per formula unit
* offset from the most stable computed form: 0.000 eV per atom

abc: 4.733 4.733 4.879
angles: 90.00 90.00 90.00
Positions (direct):
Sc: 0.500 0.500 0.500
Sb: 0.500 0.000 0.000
Sb: 0.000 0.500 0.000
C: 0.000 0.000 0.000
Te: 0.000 0.000 0.500

---

No. 5
Compound: ErSnPb2S5
Source: the Alexandria database
Functional: PBE
Structure: optimized geometry

Results
* E_form (uncorrected): -0.844 eV/atom
* magnetization: 0.000 μB/atom
* symmetry: No. 36
* total energy: -44.22 eV per formula unit

abc: 4.075 8.892 13.179
angles: 90.00 90.00 103.25
Positions (direct):
S: 0.685 0.371 0.888
S: 0.515 0.030 0.269
S: 0.485 0.970 0.769
S: 0.722 0.445 0.161
S: 0.372 0.743 0.015
S: 0.278 0.555 0.661
S: 0.628 0.257 0.515
S: 0.315 0.629 0.388
S: 0.941 0.882 0.570
S: 0.059 0.118 0.070
Sn: 0.460 0.920 0.449
Sn: 0.540 0.080 0.949
Pb: 0.887 0.773 0.164
Pb: 0.113 0.227 0.664
Pb: 0.866 0.733 0.788
Pb: 0.134 0.267 0.288
Er: 0.218 0.435 0.020
Er: 0.782 0.565 0.520

---

No. 6
Compound: SrTlCdSn
Source: the Alexandria database
Functional: PBE
Structure: optimized geometry

Results
* energy of formation from the pure elements: -0.95 eV/f.u.
* magnetization: 0.000 μB/atom
* symmetry: No. 216
* total energy: -9.92 eV per formula unit

abc: 5.506 5.506 5.506
angles: 60.00 60.00 60.00
Positions (direct):
Sn: 0.000 0.000 0.000
Sr: 0.500 0.500 0.500
Cd: 0.750 0.750 0.750
Tl: 0.250 0.250 0.250

---

No. 7
Compound: Pu3ScAs4
Source: the Alexandria database
Functional: PBE
Structure: optimized geometry

Results
* energy of formation from the pure elements: -8.61 eV/f.u.
* magnetization: 1.857 μB/atom
* symmetry: No. 221
* total energy: -76.54 eV per formula unit
* offset from the most stable computed form: 0.000 eV per atom

abc: 5.766 5.766 5.766
angles: 90.00 90.00 90.00
Positions (direct):
As: 0.000 0.500 0.000
As: 0.000 0.000 0.500
As: 0.500 0.500 0.500
As: 0.500 0.000 0.000
Sc: 0.000 0.000 0.000
Pu: 0.500 0.500 0.000
Pu: 0.000 0.500 0.500
Pu: 0.500 0.000 0.500

---

No. 8
Compound: PrDy6YEr2
Source: the Alexandria database
Functional: PBE
Structure: optimized geometry

Results
* energy of formation from the pure elements: 1.19 eV/f.u.
* magnetization: 0.000 μB/atom
* symmetry: No. 15
* total energy: -46.80 eV per formula unit

abc: 9.526 8.790 8.790
angles: 117.74 93.46 93.46
Positions (direct):
Er: 0.547 0.199 0.305
Er: 0.047 0.305 0.199
Er: 0.953 0.695 0.801
Er: 0.453 0.801 0.695
Dy: 0.557 0.751 0.122
Dy: 0.319 0.982 0.436
Dy: 0.881 0.292 0.510
Dy: 0.943 0.878 0.249
Dy: 0.819 0.436 0.982
Dy: 0.181 0.564 0.018
Dy: 0.119 0.708 0.490
Dy: 0.619 0.490 0.708
Dy: 0.443 0.249 0.878
Dy: 0.381 0.510 0.292
Dy: 0.057 0.122 0.751
Dy: 0.681 0.018 0.564
Y: 0.250 0.409 0.591
Y: 0.750 0.591 0.409
Pr: 0.750 0.027 0.973
Pr: 0.250 0.973 0.027

---

Look up the magnetization of the fourth one. 0.000 μB/atom

---

magnetization of number 8 (PrDy6YEr2)? 0.000 μB/atom